VRuN2F GGA+U relaxed; M_tot = 2.8 μB/cell; offset from the most stable computed form = 0 meV per atom; symmetry = P4/mmm (123)
1.0
3.857 0.000 0.000
0.000 3.857 0.000
0.000 0.000 3.801
V Ru N F
1 1 2 1
Direct
0.000 0.000 0.000
0.500 0.500 0.500
0.000 0.500 0.000
0.500 0.000 0.000
0.000 0.000 0.500